a.
Here is a relaxed structure of BiRhSN2 from Alexandria. Energies are from PBE.

Cell: 3.9828 3.9828 4.8827 Å, 90.00 90.00 90.00°
Closest atoms and distances in Å follow each position.
Element x y z (fractional)
N1 0.5000 0.0000 0.0000  2 Rh 1.99
N2 0.0000 0.5000 0.0000  2 Rh 1.99
Bi1 0.5000 0.5000 0.5000  4 S 2.82, 8 N 3.15
S1 0.0000 0.0000 0.5000  2 Rh 2.44
Rh1 0.0000 0.0000 0.0000  4 N 1.99

## Properties
space group = P4/mmm (123)



b.
Here is a relaxed structure of BiRhSN2 from Alexandria. Energies are from PBE.

Cell: 4.2381 4.2381 5.4122 Å, 90.00 90.00 90.00°
Closest atoms and distances in Å follow each position.
Element x y z (fractional)
Rh1 0.5000 0.5000 0.5000  4 S 3.00
N1 0.0000 0.5000 0.0000  2 Bi 2.12
N2 0.5000 0.0000 0.0000  2 Bi 2.12
Bi1 0.0000 0.0000 0.0000  4 N 2.12
S1 0.0000 0.0000 0.5000  2 Bi 2.71, 4 Rh 3.00

## Properties
space group = P4/mmm (123)



Compare the structures above. Which one is the most stable? a is.